This record from Alexandria describes KTcC3 after structural relaxation. The functional is PBE.

Lattice parameters (Å, degrees): 4.1066 4.1066 4.1066 90.00 90.00 90.00
Positions (direct):
K 0.0000 0.0000 0.0000
Tc 0.5000 0.5000 0.5000
C 0.0000 0.5000 0.5000
C 0.5000 0.0000 0.5000
C 0.5000 0.5000 0.0000

## Properties
* calculated volume: 69.3 Å³/cell
* E above lowest polymorph: 0 meV per atom
* formation energy: 1.539 eV per atom
* E_tot: -6.288 eV per atom

=====

This record from Alexandria describes K2TcC after structural relaxation. The functional is PBE.

Lattice parameters (Å, degrees): 12.0041 12.0041 3.8858 90.00 90.00 90.00
Positions (direct):
K 0.0395 0.2500 0.1250
K 0.2500 0.5395 0.3750
K 0.2500 0.9605 0.8750
K 0.4605 0.2500 0.6250
K 0.5395 0.7500 0.6250
K 0.7500 0.0395 0.8750
K 0.7500 0.4605 0.3750
K 0.9605 0.7500 0.1250
Tc 0.0000 0.0000 0.5000
Tc 0.0000 0.5000 0.7500
Tc 0.5000 0.0000 0.2500
Tc 0.5000 0.5000 0.0000
C 0.0000 0.0000 0.0000
C 0.0000 0.5000 0.2500
C 0.5000 0.0000 0.7500
C 0.5000 0.5000 0.5000

## Properties
* calculated volume: 559.9 Å³/cell
* formation energy: 0.972 eV per atom
* E_tot: -4.475 eV per atom

=====

This record from Alexandria describes KTcTe2C after structural relaxation. The functional is PBE.

Lattice parameters (Å, degrees): 6.1048 6.1048 5.5684 90.00 90.00 90.00
Positions (direct):
K 0.0000 0.0000 0.0000
Tc 0.0000 0.0000 0.5000
Te 0.0000 0.5000 0.0000
Te 0.5000 0.0000 0.0000
C 0.5000 0.5000 0.5000

## Properties
* calculated volume: 207.5 Å³/cell
* formation energy without anion corrections: 2.964 eV/atom
* E_tot: -2.430 eV per atom

=====

This record from Alexandria describes K2TcTeC after structural relaxation. The functional is PBE.

Lattice parameters (Å, degrees): 6.6575 6.6575 3.7849 90.00 90.00 90.00
Positions (direct):
K 0.0000 0.5000 0.0000
K 0.5000 0.0000 0.0000
Tc 0.0000 0.0000 0.0000
Te 0.5000 0.5000 0.5000
C 0.0000 0.0000 0.5000

## Properties
* calculated volume: 167.8 Å³/cell
* formation energy without anion corrections: 0.725 eV/atom
* E_tot: -4.261 eV per atom

=====

This record from Alexandria describes K2TeC after structural relaxation. The functional is PBE.

Lattice parameters (Å, degrees): 8.0603 8.0603 8.0603 90.00 90.00 90.00
Positions (direct):
K 0.2500 0.2500 0.2500
K 0.2500 0.2500 0.7500
K 0.2500 0.7500 0.2500
K 0.2500 0.7500 0.7500
K 0.7500 0.2500 0.2500
K 0.7500 0.2500 0.7500
K 0.7500 0.7500 0.2500
K 0.7500 0.7500 0.7500
Te 0.0000 0.0000 0.0000
Te 0.0000 0.5000 0.5000
Te 0.5000 0.0000 0.5000
Te 0.5000 0.5000 0.0000
C 0.0000 0.0000 0.5000
C 0.0000 0.5000 0.0000
C 0.5000 0.0000 0.0000
C 0.5000 0.5000 0.5000

## Properties
* calculated volume: 523.7 Å³/cell
* formation energy without anion corrections: 0.866 eV/atom
* E_tot: -2.774 eV per atom

=====

This record from Alexandria describes K3TeC after structural relaxation. The functional is PBE.

Lattice parameters (Å, degrees): 5.6447 5.6447 5.6447 90.00 90.00 90.00
Positions (direct):
K 0.0000 0.0000 0.5000
K 0.0000 0.5000 0.0000
K 0.5000 0.0000 0.0000
Te 0.5000 0.5000 0.5000
C 0.0000 0.0000 0.0000

## Properties
* calculated volume: 179.9 Å³/cell
* formation energy without anion corrections: 0.344 eV/atom
* E above lowest polymorph: 0 meV per atom
* E_tot: -2.787 eV per atom

=====

This record from Alexandria describes K2ZrTeC after structural relaxation. The functional is PBE.

Lattice parameters (Å, degrees): 7.3132 7.3132 5.4383 90.00 90.00 90.00
Positions (direct):
K 0.0000 0.5000 0.0000
K 0.5000 0.0000 0.0000
Zr 0.0000 0.0000 0.0000
Te 0.0000 0.0000 0.5000
C 0.5000 0.5000 0.5000

## Properties
* calculated volume: 290.9 Å³/cell
* formation energy without anion corrections: 1.476 eV/atom
* E_tot: -3.146 eV per atom

=====

This record from Alexandria describes KTiC2 after structural relaxation. The functional is PBE.

Lattice parameters (Å, degrees): 5.1352 5.1352 12.4752 90.00 90.00 90.00
Positions (direct):
K 0.0000 0.2500 0.3750
K 0.0000 0.7500 0.6250
K 0.5000 0.2500 0.1250
K 0.5000 0.7500 0.8750
Ti 0.0000 0.2500 0.8750
Ti 0.0000 0.7500 0.1250
Ti 0.5000 0.2500 0.6250
Ti 0.5000 0.7500 0.3750
C 0.0000 0.0000 0.0000
C 0.0000 0.5000 0.0000
C 0.2500 0.2500 0.7500
C 0.2500 0.7500 0.2500
C 0.5000 0.0000 0.5000
C 0.5000 0.5000 0.5000
C 0.7500 0.2500 0.7500
C 0.7500 0.7500 0.2500

## Properties
* calculated volume: 329.0 Å³/cell
* E above lowest polymorph: 0 meV per atom
* formation energy: 1.015 eV per atom
* E_tot: -5.846 eV per atom

=====

This record from Alexandria describes KTi2C after structural relaxation. The functional is PBE.

Lattice parameters (Å, degrees): 6.6008 6.6008 6.6008 60.00 60.00 60.00
Positions (direct):
K 0.1250 0.1250 0.1250
K 0.8750 0.8750 0.8750
Ti 0.0000 0.5000 0.5000
Ti 0.5000 0.0000 0.5000
Ti 0.5000 0.5000 0.0000
Ti 0.5000 0.5000 0.5000
C 0.3750 0.3750 0.3750
C 0.6250 0.6250 0.6250

## Properties
* calculated volume: 203.4 Å³/cell
* formation energy: 0.541 eV per atom
* E_tot: -5.987 eV per atom

=====

This record from Alexandria describes K2TiC after structural relaxation. The functional is PBE.

Lattice parameters (Å, degrees): 12.3897 12.3897 3.9804 90.00 90.00 90.00
Positions (direct):
K 0.0481 0.2500 0.1250
K 0.2500 0.5481 0.3750
K 0.2500 0.9519 0.8750
K 0.4519 0.2500 0.6250
K 0.5481 0.7500 0.6250
K 0.7500 0.0481 0.8750
K 0.7500 0.4519 0.3750
K 0.9519 0.7500 0.1250
Ti 0.0000 0.0000 0.5000
Ti 0.0000 0.5000 0.7500
Ti 0.5000 0.0000 0.2500
Ti 0.5000 0.5000 0.0000
C 0.0000 0.0000 0.0000
C 0.0000 0.5000 0.2500
C 0.5000 0.0000 0.7500
C 0.5000 0.5000 0.5000

## Properties
* calculated volume: 611.0 Å³/cell
* formation energy: 0.810 eV per atom
* E_tot: -4.018 eV per atom

=====

This record from Alexandria describes KTiC2 after structural relaxation. The functional is PBE.

Lattice parameters (Å, degrees): 5.9554 5.9554 5.9554 90.00 90.00 90.00
Positions (direct):
K 0.0000 0.0000 0.0000
K 0.0000 0.5000 0.5000
K 0.5000 0.0000 0.5000
K 0.5000 0.5000 0.0000
Ti 0.0000 0.0000 0.5000
Ti 0.0000 0.5000 0.0000
Ti 0.5000 0.0000 0.0000
Ti 0.5000 0.5000 0.5000
C 0.2500 0.2500 0.2500
C 0.2500 0.2500 0.7500
C 0.2500 0.7500 0.2500
C 0.2500 0.7500 0.7500
C 0.7500 0.2500 0.2500
C 0.7500 0.2500 0.7500
C 0.7500 0.7500 0.2500
C 0.7500 0.7500 0.7500

## Properties
* calculated volume: 211.2 Å³/cell
* E above lowest polymorph: 1005 meV per atom
* formation energy: 2.019 eV per atom
* E_tot: -4.841 eV per atom

=====

This record from Alexandria describes K2TiTlC after structural relaxation. The functional is PBE.

Lattice parameters (Å, degrees): 6.8238 6.8238 5.4547 90.00 90.00 90.00
Positions (direct):
K 0.0000 0.5000 0.0000
K 0.5000 0.0000 0.0000
Ti 0.0000 0.0000 0.0000
Tl 0.0000 0.0000 0.5000
C 0.5000 0.5000 0.5000

## Properties
* calculated volume: 254.0 Å³/cell
* formation energy: 1.934 eV per atom
* E_tot: -2.402 eV per atom